No. 1
Sn2As2Ir | GGA-PBE | optimized geometry

a b c (Å): 6.2790 6.2790 5.6745
angles (deg): 90.00 90.00 90.00
Fractional positions:
1 Sn 0.1927 0.3073 0.0000
2 Sn 0.3073 0.8073 0.0000
3 Sn 0.6927 0.1927 0.0000
4 Sn 0.8073 0.6927 0.0000
5 As 0.1369 0.6369 0.5000
6 As 0.3631 0.1369 0.5000
7 As 0.6369 0.8631 0.5000
8 As 0.8631 0.3631 0.5000
9 Ir 0.0000 0.0000 0.5000
10 Ir 0.5000 0.5000 0.5000

Properties
As for the spin magnetization: 0.0 μB/f.u. The total DFT energy (no corrections) is -0.1912 hartree per atom. Its symmetry is P4/mbm (127). As for the formation energy: 0.15 eV per formula unit.

No. 2
SnAs3Ir | GGA-PBE | optimized geometry

a b c (Å): 4.9043 4.9043 4.9043
angles (deg): 90.00 90.00 90.00
Fractional positions:
1 Sn 0.0000 0.0000 0.0000
2 As 0.0000 0.5000 0.5000
3 As 0.5000 0.0000 0.5000
4 As 0.5000 0.5000 0.0000
5 Ir 0.5000 0.5000 0.5000

Properties
As for the spin magnetization: 0.0 μB/f.u. The energy relative to the lowest polymorph listed for this composition comes out at 0 meV/atom. The total DFT energy (no corrections) is -0.1782 hartree per atom. Its symmetry is Pm-3m (221). As for the formation energy: 2.57 eV per formula unit.

No. 3
SnAsIr2 | GGA-PBE | optimized geometry

a b c (Å): 6.4534 6.4534 6.4534
angles (deg): 90.00 90.00 90.00
Fractional positions:
1 Sn 0.0000 0.0000 0.0000
2 Sn 0.0000 0.5000 0.5000
3 Sn 0.5000 0.0000 0.5000
4 Sn 0.5000 0.5000 0.0000
5 As 0.0000 0.0000 0.5000
6 As 0.0000 0.5000 0.0000
7 As 0.5000 0.0000 0.0000
8 As 0.5000 0.5000 0.5000
9 Ir 0.2500 0.2500 0.2500
10 Ir 0.2500 0.2500 0.7500
11 Ir 0.2500 0.7500 0.2500
12 Ir 0.2500 0.7500 0.7500
13 Ir 0.7500 0.2500 0.2500
14 Ir 0.7500 0.2500 0.7500
15 Ir 0.7500 0.7500 0.2500
16 Ir 0.7500 0.7500 0.7500

Properties
As for the spin magnetization: 0.0 μB/f.u. The energy relative to the lowest polymorph listed for this composition comes out at 45 meV/atom. The total DFT energy (no corrections) is -0.2339 hartree per atom. Its symmetry is Fm-3m (225). As for the formation energy: 0.91 eV per formula unit.

No. 4
SrAs2Ir | GGA-PBE | optimized geometry

a b c (Å): 4.1954 4.1954 9.2541
angles (deg): 90.00 90.00 90.00
Fractional positions:
1 Sr 0.0000 0.0000 0.0000
2 Sr 0.5000 0.5000 0.5000
3 As 0.0000 0.0000 0.5000
4 As 0.0000 0.5000 0.7500
5 As 0.5000 0.0000 0.2500
6 As 0.5000 0.5000 0.0000
7 Ir 0.0000 0.5000 0.2500
8 Ir 0.5000 0.0000 0.7500

Properties
As for the spin magnetization: 0.0 μB/f.u. The total DFT energy (no corrections) is -0.1798 hartree per atom. Its symmetry is I-4m2 (119). As for the formation energy: 0.28 eV per formula unit.

No. 5
Sr2As4Ir5 | GGA-PBE | optimized geometry

a b c (Å): 9.0967 8.0237 5.8585
angles (deg): 80.23 60.37 39.40
Fractional positions:
1 Sr 0.1280 0.1280 0.8720
2 Sr 0.8720 0.8720 0.1280
3 As 0.2093 0.5385 0.4615
4 As 0.4615 0.7907 0.2093
5 As 0.5385 0.2093 0.7907
6 As 0.7907 0.4615 0.5385
7 Ir 0.0000 0.0000 0.5000
8 Ir 0.2500 0.2500 0.2500
9 Ir 0.5000 0.5000 0.0000
10 Ir 0.5000 0.5000 0.5000
11 Ir 0.7500 0.7500 0.7500

Properties
As for the spin magnetization: 0.0 μB/f.u. The total DFT energy (no corrections) is -0.2378 hartree per atom. Its symmetry is Fmmm (69). As for the formation energy: -4.93 eV per formula unit.

No. 6
SrAsIr2 | GGA-PBE | optimized geometry

a b c (Å): 4.1052 4.1052 8.8097
angles (deg): 90.00 90.00 90.00
Fractional positions:
1 Sr 0.0000 0.0000 0.0000
2 Sr 0.5000 0.5000 0.5000
3 As 0.0000 0.5000 0.7500
4 As 0.5000 0.0000 0.2500
5 Ir 0.0000 0.0000 0.5000
6 Ir 0.0000 0.5000 0.2500
7 Ir 0.5000 0.0000 0.7500
8 Ir 0.5000 0.5000 0.0000

Properties
As for the spin magnetization: 0.0 μB/f.u. The total DFT energy (no corrections) is -0.2089 hartree per atom. Its symmetry is I-4m2 (119). As for the formation energy: 1.32 eV per formula unit.

No. 7
SrAsIr2 | GGA-PBE | optimized geometry

a b c (Å): 3.0525 5.1391 9.5567
angles (deg): 90.00 90.00 90.00
Fractional positions:
1 Sr 0.0000 0.0000 0.0000
2 Sr 0.5000 0.5000 0.5000
3 As 0.0000 0.0000 0.5000
4 As 0.5000 0.5000 0.0000
5 Ir 0.0000 0.5000 0.2132
6 Ir 0.0000 0.5000 0.7868
7 Ir 0.5000 0.0000 0.2868
8 Ir 0.5000 0.0000 0.7132

Properties
As for the spin magnetization: 0.0 μB/f.u. The total DFT energy (no corrections) is -0.2137 hartree per atom. Its symmetry is Immm (71). As for the formation energy: 0.79 eV per formula unit.

No. 8
SrAsIr2 | GGA-PBE | optimized geometry

a b c (Å): 4.2783 4.2783 8.1355
angles (deg): 90.00 90.00 90.00
Fractional positions:
1 Sr 0.0000 0.0000 0.0000
2 Sr 0.5000 0.5000 0.5000
3 As 0.0000 0.0000 0.5000
4 As 0.5000 0.5000 0.0000
5 Ir 0.0000 0.5000 0.2500
6 Ir 0.0000 0.5000 0.7500
7 Ir 0.5000 0.0000 0.2500
8 Ir 0.5000 0.0000 0.7500

Properties
As for the spin magnetization: 0.0 μB/f.u. The total DFT energy (no corrections) is -0.2097 hartree per atom. Its symmetry is I4/mmm (139). As for the formation energy: 1.23 eV per formula unit.